# CrOs2Br, optimized geometry, DFT PBE-GGA
# Raw total energy   -7.18 eV/atom
# Formation energy without anion corrections   1.2554 eV per atom
# Energy relative to the lowest polymorph listed for this composition   576 meV/atom
# Fermi-level density of states   1.13 states/eV per atom
# Crystal system   cubic
data_CrOs2Br
_chemical_formula_sum 'Cr4 Os8 Br4'
_space_group_name_H-M_alt 'F -4 3 m'
_space_group_IT_number 216
_space_group_name_Hall 'F -4 2 3'
_cell_length_a 6.204
_cell_length_b 6.204
_cell_length_c 6.204
_cell_angle_alpha 90.00
_cell_angle_beta 90.00
_cell_angle_gamma 90.00
loop_
_atom_site_label
_atom_site_type_symbol
_atom_site_fract_x
_atom_site_fract_y
_atom_site_fract_z
Cr1 Cr 0.000 0.000 0.000
Os1 Os 0.000 0.000 0.500
Os2 Os 0.250 0.250 0.750
Br1 Br 0.250 0.250 0.250



# Cr2OsBr, optimized geometry, DFT PBE-GGA
# Raw total energy   -7.21 eV/atom
# Formation energy without anion corrections   0.8296 eV per atom
# Energy relative to the lowest polymorph listed for this composition   270 meV/atom
# Fermi-level density of states   0.99 states/eV per atom
# Crystal system   orthorhombic
data_Cr2OsBr
_chemical_formula_sum 'Cr4 Os2 Br2'
_space_group_name_H-M_alt 'I m m 2'
_space_group_IT_number 44
_cell_length_a 2.947
_cell_length_b 4.386
_cell_length_c 9.335
_cell_angle_alpha 90.00
_cell_angle_beta 90.00
_cell_angle_gamma 90.00
loop_
_space_group_symop_operation_xyz
'x,y,z'
'-x,-y,z'
'-x,y,z'
'x,-y,z'
'x+1/2,y+1/2,z+1/2'
'-x+1/2,-y+1/2,z+1/2'
'-x+1/2,y+1/2,z+1/2'
'x+1/2,-y+1/2,z+1/2'
loop_
_atom_site_label
_atom_site_type_symbol
_atom_site_fract_x
_atom_site_fract_y
_atom_site_fract_z
Cr1 Cr 0.000 0.000 0.000
Cr2 Cr 0.000 0.500 0.208
Os1 Os 0.000 0.000 0.472
Br1 Br 0.000 0.500 0.730



# CrOsBr2, optimized geometry, DFT PBE-GGA
# Raw total energy   -4.98 eV/atom
# Formation energy without anion corrections   1.0660 eV per atom
# Energy relative to the lowest polymorph listed for this composition   849 meV/atom
# Fermi-level density of states   0.45 states/eV per atom
# Crystal system   trigonal
data_CrOsBr2
_chemical_formula_sum 'Cr3 Os3 Br6'
_space_group_name_H-M_alt 'R -3 m'
_space_group_IT_number 166
_space_group_name_Hall '-R 3 2"'
_cell_length_a 3.1100
_cell_length_b 3.1100
_cell_length_c 28.6349
_cell_angle_alpha 90.00
_cell_angle_beta 90.00
_cell_angle_gamma 120.00
loop_
_atom_site_label
_atom_site_type_symbol
_atom_site_fract_x
_atom_site_fract_y
_atom_site_fract_z
Cr1 Cr 0.0000 0.0000 0.0000
Os1 Os 0.0000 0.0000 0.5000
Br1 Br 0.0000 0.0000 0.2732



# Cr2OsBr, optimized geometry, DFT PBE-GGA
# Raw total energy   -7.40 eV/atom
# Formation energy without anion corrections   0.6394 eV per atom
# Energy relative to the lowest polymorph listed for this composition   80 meV/atom
# Fermi-level density of states   1.03 states/eV per atom
# Crystal system   trigonal
data_Cr2OsBr
_chemical_formula_sum 'Cr6 Os3 Br3'
_space_group_name_H-M_alt 'R 3 m'
_space_group_IT_number 160
_space_group_name_Hall 'R 3 -2"'
_cell_length_a 2.8658
_cell_length_b 2.8658
_cell_length_c 26.1285
_cell_angle_alpha 90.00
_cell_angle_beta 90.00
_cell_angle_gamma 120.00
loop_
_atom_site_label
_atom_site_type_symbol
_atom_site_fract_x
_atom_site_fract_y
_atom_site_fract_z
Cr1 Cr 0.0000 0.0000 0.0000
Cr2 Cr 0.0000 0.0000 0.2594
Os1 Os 0.0000 0.0000 0.7386
Br1 Br 0.0000 0.0000 0.5221